# 1
This record from Alexandria describes a relaxed structure of Li2PrNd. The functional is PBE.

a b c (Å): 5.4252 5.4252 5.4252
angles (deg): 60.00 60.00 60.00
Last column: magnetic moment on the atom in μB.
Positions (direct):
1 Nd 0.0000 0.0000 0.0000  0.17
2 Li 0.2500 0.2500 0.2500  0.01
3 Li 0.7500 0.7500 0.7500  0.01
4 Pr 0.5000 0.5000 0.5000  0.15

symmetry: Fm-3m, No. 225
energy relative to the lowest polymorph listed for this composition: 0.004 eV per atom
formation energy: 148 meV per atom
total moment: 0.79 μB/cell
DOS(E_F): 6.5 states/eV/cell



# 2
This record from Alexandria describes a relaxed structure of Sr3LiRh. The functional is PBE.

a b c (Å): 8.3827 8.3827 8.3827
angles (deg): 55.81 55.81 55.81
Positions (direct):
1 Sr 0.7105 0.3907 0.1102
2 Sr 0.3907 0.1102 0.7105
3 Sr 0.1102 0.7105 0.3907
4 Sr 0.8898 0.2895 0.6093
5 Sr 0.6093 0.8898 0.2895
6 Sr 0.2895 0.6093 0.8898
7 Li 0.8131 0.8131 0.8131
8 Li 0.1869 0.1869 0.1869
9 Rh 0.6887 0.6887 0.6887
10 Rh 0.3113 0.3113 0.3113

symmetry: R-3, No. 148
energy relative to the lowest polymorph listed for this composition: 0.036 eV per atom
formation energy: -111 meV per atom
total moment: 0.00 μB/cell
DOS(E_F): 1.1 states/eV/cell



Q: Which formula does entry 1 have?
A: Li2PrNd



Q: What is the formula in the second record?
A: Sr3LiRh